# CrIn3O6 (PBE with a Hubbard U, optimized geometry)
# ΔE to the lowest computed polymorph in eV per atom: 0.0753
# Total magnetic moment in μB per formula unit: 3.00
data_CrIn3O6
_chemical_formula_sum 'Cr2 In6 O12'
_symmetry_space_group_name_H-M 'P 1 21/c 1'
_symmetry_Int_Tables_number 14
_cell_length_a 5.3862
_cell_length_b 5.5599
_cell_length_c 9.6277
_cell_angle_alpha 90.00
_cell_angle_beta 123.59
_cell_angle_gamma 90.00
loop_
_symmetry_equiv_pos_as_xyz
'x,y,z'
'-x,-y,-z'
'-x,y+1/2,-z+1/2'
'x,-y+1/2,z+1/2'
loop_
_atom_site_label
_atom_site_fract_x
_atom_site_fract_y
_atom_site_fract_z
Cr1 0.0000 0.0000 0.0000
In1 0.2782 0.0505 0.7641
In2 0.5000 0.0000 0.5000
O1 0.1034 0.0849 0.2350
O2 0.2678 0.7018 0.0894
O3 0.3657 0.1757 0.0546